This record from the Alexandria database describes a geometry-optimized ThMn10Be2 structure. The functional is PBE.

Output
ΔH_f (0 K) = -0.01 eV/atom

Cell lengths 6.295, 6.295, 7.892 Å; angles 90.00, 90.00, 98.40 degrees
Atoms (fractional coordinates):
Mn 0.817 0.183 0.393
Be 0.000 0.500 0.500
Th 0.126 0.874 0.250
Mn 0.222 0.222 0.500
Mn 0.120 0.381 0.250
Mn 0.817 0.183 0.107
Mn 0.778 0.778 0.500
Mn 0.778 0.778 0.000
Be 0.500 0.000 0.000
Mn 0.473 0.259 0.250
Mn 0.605 0.395 0.935
Mn 0.880 0.619 0.750
Be 0.000 0.500 0.000
Th 0.874 0.126 0.750
Mn 0.183 0.817 0.607
Mn 0.527 0.741 0.750
Mn 0.381 0.120 0.750
Mn 0.605 0.395 0.565
Mn 0.395 0.605 0.065
Be 0.500 0.000 0.500
Mn 0.183 0.817 0.893
Mn 0.259 0.473 0.750
Mn 0.741 0.527 0.250
Mn 0.222 0.222 0.000
Mn 0.395 0.605 0.435
Mn 0.619 0.880 0.250

***

This record from the Alexandria database describes a geometry-optimized BeIn2GeSb structure. The functional is PBE.

Output
formation energy (no corrections) = 0.3825 eV/atom

Cell lengths 5.570, 4.092, 5.570 Å; angles 90.00, 90.00, 90.00 degrees
Atoms (fractional coordinates):
Be 0.000 0.500 0.000
Ge 0.000 0.000 0.000
In 0.500 0.000 0.000
In 0.000 0.000 0.500
Sb 0.500 0.500 0.500

***

Calculated total moment in order - 1.50 0.00 μB per formula unit
Calculated Fermi-level density of states in order - 0.997 0.341 states/eV per atom